Density functional theory data (PBE with a Hubbard U) for a geometry-optimized Li4MnFe3B4O12 structure.

Symmetry: P1 (1)
Density (Mg/m³): 3.225
Final energy (eV/atom): -7.0113
Calculated volume (Å³/cell): 250.0

Geometry as POSCAR:
```
Li4MnFe3B4O12
1.0
-5.110 0.025 0.619
-0.775 -4.344 -4.293
0.322 -6.680 4.474
Li Mn Fe B O
4 1 3 4 12
Direct
0.915 0.525 0.148
0.418 0.030 0.650
0.585 0.976 0.350
0.082 0.474 0.851
0.097 0.739 0.494
0.411 0.759 0.008
0.909 0.251 0.508
0.589 0.246 0.992
0.096 0.092 0.169
0.400 0.408 0.328
0.600 0.588 0.670
0.903 0.911 0.832
0.983 0.250 0.044
0.957 0.005 0.316
0.359 0.025 0.152
0.538 0.498 0.181
0.515 0.251 0.453
0.139 0.475 0.345
0.858 0.515 0.654
0.492 0.753 0.548
0.457 0.499 0.816
0.641 0.979 0.849
0.042 0.001 0.686
0.015 0.750 0.955
```